A plane-wave DFT calculation with PBE was carried out for crystalline Ca3AlGe2Au9 at its relaxed geometry.

Calculated values
The total magnetization comes out at 0.0 μB per formula unit. The energy of formation from the pure elements is -347 meV/atom.

Structure (CIF):
```
data_Ca3AlGe2Au9
_chemical_formula_sum 'Ca3 Al1 Ge2 Au9'
_cell_length_a 7.8442
_cell_length_b 7.8442
_cell_length_c 6.6610
_cell_angle_alpha 90.00
_cell_angle_beta 90.00
_cell_angle_gamma 120.00
_space_group_name_H-M_alt 'P -3 m 1'
_space_group_IT_number 164
_space_group_name_Hall '-P 3 2"'
loop_
_atom_site_label
_atom_site_fract_x
_atom_site_fract_y
_atom_site_fract_z
_atom_site_occupancy
Ca1 0.0000 0.0000 0.0000 1
Ca2 0.3333 0.6667 0.6671 1
Al1 0.0000 0.0000 0.5000 1
Ge1 0.3333 0.6667 0.1666 1
Au1 0.0000 0.5000 0.0000 1
Au2 0.1653 0.3307 0.3371 1
```